# 1
A plane-wave DFT calculation with PBE was carried out for Pm3Dy3Mg after structural relaxation.

extended XYZ file:
```
14
Lattice="5.923 0.000 1.903 2.656 5.294 1.903 -1.358 -0.838 14.393" Properties=species:S:1:pos:R:3 pbc="T T T"
Pm 1.228 3.192 13.125
Mg 2.859 1.765 1.270
Dy 2.951 4.261 7.753
Pm 4.289 1.430 13.760
Pm 1.433 -0.334 12.492
Dy 4.270 0.195 10.447
Dy 6.019 2.497 8.390
Pm 5.787 4.790 5.708
Dy 3.158 0.727 7.119
Mg 4.361 2.691 16.930
Dy 1.201 1.959 9.811
Dy 4.062 3.729 11.081
Pm 5.993 1.264 5.075
Pm 2.931 3.025 4.441
```

Properties
Mass density (g/cm³): 6.7
M_tot (μB per formula unit): 0.00
Space-group type: R-3
Total DFT energy (no corrections) (eV/cell): -58.060

=====

# 2
A plane-wave DFT calculation with PBE was carried out for DyNiAu after structural relaxation.

extended XYZ file:
```
3
Lattice="-2.984 0.847 3.186 0.938 -0.967 4.238 0.732 3.274 2.918" Properties=species:S:1:pos:R:3 pbc="T T T"
Ni -0.329 0.789 2.586
Dy -0.657 1.577 5.171
Au 0.000 0.000 0.000
```

Properties
Mass density (g/cm³): 11.2
M_tot (μB per formula unit): 0.00
Space-group type: F-43m
Total DFT energy (no corrections) (eV/cell): -15.076

=====

# 3
A plane-wave DFT calculation with PBE was carried out for KTiRh3 after structural relaxation.

extended XYZ file:
```
5
Lattice="-2.999 -3.484 0.308 3.374 -2.775 1.462 -0.920 1.177 4.358" Properties=species:S:1:pos:R:3 pbc="T T T"
Ti -0.272 -2.541 3.064
K 0.000 0.000 0.000
Rh -1.499 -1.742 0.154
Rh 1.687 -1.388 0.731
Rh -0.460 0.589 2.179
```

Properties
Mass density (g/cm³): 6.7
M_tot (μB per formula unit): 0.00
Space-group type: Pm-3m
Total DFT energy (no corrections) (eV/cell): -21.173

=====

# 4
A plane-wave DFT calculation with PBE was carried out for TlCu2Ru after structural relaxation.

extended XYZ file:
```
4
Lattice="-2.197 0.196 3.084 1.166 -2.490 0.989 5.181 0.496 3.659" Properties=species:S:1:pos:R:3 pbc="T T T"
Ru 0.488 -0.401 2.704
Cu 3.032 -1.106 2.230
Tl 3.662 -1.398 5.028
Cu 1.307 -2.381 1.082
```

Properties
Mass density (g/cm³): 11.4
M_tot (μB per formula unit): 0.75
Space-group type: P2/m
Total DFT energy (no corrections) (eV/cell): -18.095

=====

# 5
A plane-wave DFT calculation with PBE was carried out for LaCu3Bi after structural relaxation.

extended XYZ file:
```
5
Lattice="5.145 0.000 0.000 0.000 5.145 0.000 0.000 0.000 5.145" Properties=species:S:1:pos:R:3 pbc="T T T"
Cu 0.000 2.572 0.000
Cu 0.000 0.000 2.572
Bi 2.572 2.572 2.572
La 0.000 0.000 0.000
Cu 2.572 0.000 0.000
```

Properties
Mass density (g/cm³): 6.6
M_tot (μB per formula unit): 0.00
Space-group type: Pm-3m
Total DFT energy (no corrections) (eV/cell): -16.088

=====

# 6
A plane-wave DFT calculation with PBE was carried out for PmY7Tm2 after structural relaxation.

extended XYZ file:
```
10
Lattice="3.447 0.000 0.000 0.000 10.448 -10.885 0.000 -4.947 14.253" Properties=species:S:1:pos:R:3 pbc="T T T"
Y 1.723 5.706 0.004
Tm 1.723 7.255 -5.670
Y 1.723 2.750 1.684
Y 0.000 5.682 -3.102
Y 1.723 2.905 -1.712
Tm 1.723 -1.754 9.039
Y 1.723 -0.205 3.365
Y 0.000 -0.181 6.471
Pm 0.000 0.000 0.000
Y 1.723 2.596 5.081
```

Properties
Mass density (g/cm³): 5.6
M_tot (μB per formula unit): 0.00
Space-group type: Cmmm
Total DFT energy (no corrections) (eV/cell): -56.727

=====

# 7
A plane-wave DFT calculation with PBE was carried out for Tl5Hg2P2 after structural relaxation.

extended XYZ file:
```
9
Lattice="4.070 0.000 -1.350 -1.173 10.409 -3.536 0.002 -1.946 6.815" Properties=species:S:1:pos:R:3 pbc="T T T"
P 0.551 2.348 1.661
Tl -0.262 6.542 -0.789
Tl 0.000 0.000 0.000
Hg 1.536 9.302 -2.180
Tl 0.840 5.080 2.533
Tl 3.161 1.921 2.719
P 2.348 6.115 0.268
Hg 1.363 -0.839 4.109
Tl 2.059 3.382 -0.603
```

Properties
Mass density (g/cm³): 9.6
M_tot (μB per formula unit): 0.00
Space-group type: C2/m
Total DFT energy (no corrections) (eV/cell): -22.304

=====

# 8
A plane-wave DFT calculation with PBE was carried out for PaGaTcIr after structural relaxation.

extended XYZ file:
```
4
Lattice="3.675 0.000 0.000 0.000 4.212 0.000 0.000 0.000 4.486" Properties=species:S:1:pos:R:3 pbc="T T T"
Pa 0.000 2.106 2.243
Ga 0.000 0.000 0.000
Tc 1.838 0.000 2.243
Ir 1.838 2.106 0.000
```

Properties
Mass density (g/cm³): 14.1
M_tot (μB per formula unit): 0.00
Space-group type: Pmmm
Total DFT energy (no corrections) (eV/cell): -34.042

=====

# 9
A plane-wave DFT calculation with PBE was carried out for NaOsCl6 after structural relaxation.

extended XYZ file:
```
16
Lattice="-6.151 -2.590 0.398 0.514 -6.413 -1.820 1.793 -2.639 9.936" Properties=species:S:1:pos:R:3 pbc="T T T"
Cl -3.002 -9.910 8.822
Os -3.076 -1.295 0.199
Cl -0.579 -5.603 2.961
Cl -3.546 -8.792 3.737
Cl -1.870 -6.033 -0.177
Na -4.697 -4.632 7.813
Cl -0.858 -8.822 6.570
Na 0.853 -7.010 0.700
Cl -1.974 -5.609 8.691
Cl -4.555 -5.897 2.534
Os 1.154 -4.526 4.058
Cl -0.843 -1.732 -0.308
Cl -2.986 -2.820 1.944
Cl -3.265 -6.039 5.553
Cl 0.710 -5.745 5.980
Cl -0.299 -2.850 4.777
```

Properties
Mass density (g/cm³): 3.2
M_tot (μB per formula unit): 3.00
Space-group type: C2/c
ΔE_f (raw) (meV/atom): -758
Total DFT energy (no corrections) (eV/cell): -59.381

=====

# 10
A plane-wave DFT calculation with PBE was carried out for Li2FeSe after structural relaxation.

extended XYZ file:
```
4
Lattice="3.903 0.000 0.000 0.000 3.770 0.000 0.000 0.000 3.770" Properties=species:S:1:pos:R:3 pbc="T T T"
Se 1.951 1.885 0.000
Li 0.000 1.885 1.885
Fe 1.951 0.000 1.885
Li 0.000 0.000 0.000
```

Properties
Mass density (g/cm³): 4.5
M_tot (μB per formula unit): 2.72
Space-group type: P4/mmm
ΔE_f (raw) (meV/atom): -258
Total DFT energy (no corrections) (eV/cell): -16.807

=====

# 11
A plane-wave DFT calculation with PBE was carried out for SrYMnS4 after structural relaxation.

extended XYZ file:
```
14
Lattice="-3.099 -4.612 3.568 1.893 -4.344 -3.972 7.630 0.645 2.931" Properties=species:S:1:pos:R:3 pbc="T T T"
S 5.317 -3.149 3.572
Mn 3.128 -4.142 -1.198
S 7.411 -3.886 -1.765
Sr 6.289 -6.066 2.412
S 6.496 -1.785 0.156
S 4.602 -4.890 0.323
Mn 3.296 -4.170 3.725
S -0.987 -4.427 4.292
S 1.107 -5.163 -1.045
S 1.822 -3.422 2.204
Y 2.432 -6.474 1.021
Y 3.992 -1.838 1.506
Sr 0.135 -2.246 0.115
S -0.072 -6.528 2.371
```

Properties
Mass density (g/cm³): 3.7
M_tot (μB per formula unit): 4.00
Space-group type: P2_1/m
ΔE_f (raw) (meV/atom): -1487
Total DFT energy (no corrections) (eV/cell): -88.466

=====

# 12
A plane-wave DFT calculation with PBE was carried out for Na3Al4O8 after structural relaxation.

extended XYZ file:
```
30
Lattice="-5.242 5.242 5.242 5.242 -5.242 5.242 5.242 5.242 -5.242" Properties=species:S:1:pos:R:3 pbc="T T T"
Na 5.242 0.000 2.621
Al 1.639 -1.639 1.639
O 2.621 2.621 2.621
Al -3.604 3.604 3.604
O 2.621 -2.621 2.621
O 3.148 5.242 -3.148
O 3.148 3.148 5.242
O 2.094 2.094 0.000
O -3.148 3.148 5.242
Na 2.621 0.000 5.242
O 5.242 3.148 -3.148
O 3.148 -3.148 5.242
O 5.242 -3.148 3.148
Na 0.000 2.621 5.242
O 3.148 5.242 3.148
Na 5.242 2.621 0.000
Al -1.639 1.639 1.639
Na 2.621 5.242 0.000
Al 3.604 3.604 3.604
O 0.000 2.094 2.094
Al 3.604 3.604 -3.604
Al 1.639 1.639 1.639
O 2.621 2.621 -2.621
O 2.094 0.000 2.094
O -3.148 5.242 3.148
Na 0.000 5.242 2.621
Al 1.639 1.639 -1.639
O 5.242 3.148 3.148
Al 3.604 -3.604 3.604
O -2.621 2.621 2.621
```

Properties
Mass density (g/cm³): 1.8
M_tot (μB per formula unit): 1.13
Space-group type: Im-3m
ΔE_f (raw) (meV/atom): -2146
Total DFT energy (no corrections) (eV/cell): -181.579